[1]
VASP calculation (PBE) on crystalline Nd4Te5I at its relaxed geometry.

Geometry as POSCAR:
```
Nd4Te5I
1.0
-5.249 0.187 5.667
-6.579 -3.644 -5.973
2.812 -9.880 2.931
I Te Nd
2 10 8
direct
0.879 0.000 0.000
0.121 0.500 0.500
0.283 0.000 0.500
0.259 0.272 0.800
0.259 0.728 0.200
0.259 0.272 0.200
0.717 0.500 0.000
0.741 0.228 0.700
0.259 0.728 0.800
0.741 0.772 0.300
0.741 0.772 0.700
0.741 0.228 0.300
0.448 0.289 0.500
0.957 0.500 0.773
0.043 0.000 0.727
0.957 0.500 0.227
0.448 0.711 0.500
0.552 0.211 0.000
0.552 0.789 0.000
0.043 0.000 0.273
```

Properties
- E_form (uncorrected): -1.210 eV/atom
- Total moment: 1.0 μB/f.u.
- Total energy: -4.843 eV/atom
- Space-group type: Pmmn, No. 59
- Calculated density: 5.62 g/cm3


[2]
VASP calculation (PBE) on crystalline RbSrB2Ir at its relaxed geometry.

Geometry as POSCAR:
```
RbSrB2Ir
1.0
4.710 0.000 0.000
0.000 5.689 0.000
0.000 0.000 4.710
B Ir Sr Rb
2 1 1 1
direct
0.500 0.000 0.000
0.000 0.000 0.500
0.500 0.500 0.500
0.000 0.500 0.000
0.000 0.000 0.000
```

Properties
- Formation energy from the elements: 2.84 eV/atom
- Total moment: 0.0 μB/f.u.
- Total energy: -2.137 eV/atom
- Space-group type: P4/mmm, No. 123
- Calculated density: 5.09 g/cm3


[3]
VASP calculation (PBE) on crystalline Fe3Ge2 at its relaxed geometry.

Geometry as POSCAR:
```
Fe3Ge2
1.0
2.838 -0.022 -0.335
0.033 4.006 0.006
-2.195 -1.991 6.051
Ge Fe
2 3
direct
0.744 0.372 0.743
0.256 0.628 0.257
0.133 0.817 0.634
0.867 0.183 0.366
0.000 0.000 0.000
```

Properties
- Formation energy from the elements: -0.02 eV/atom
- Total moment: 6.2 μB/f.u.
- Total energy: -6.945 eV/atom
- Space-group type: C2/m, No. 12
- Calculated density: 7.88 g/cm3


[4]
VASP calculation (PBE) on crystalline MgBeZnAg at its relaxed geometry.

Geometry as POSCAR:
```
MgBeZnAg
1.0
-0.329 4.284 0.885
-2.304 1.350 3.481
2.070 1.686 3.481
Ag Zn Mg Be
1 1 1 1
direct
0.000 0.000 0.000
0.500 0.500 0.500
0.750 0.750 0.750
0.250 0.250 0.250
```

Properties
- Formation energy from the elements: 0.10 eV/atom
- Total moment: 0.0 μB/f.u.
- Total energy: -2.261 eV/atom
- Space-group type: F-43m, No. 216
- Calculated density: 5.75 g/cm3


[5]
VASP calculation (PBE) on crystalline Pr2ThGe3Ir4 at its relaxed geometry.

Geometry as POSCAR:
```
Pr2ThGe3Ir4
1.0
-2.623 1.828 2.884
2.856 -0.818 3.117
4.869 9.919 -1.859
Th Ge Pr Ir
1 3 2 4
direct
0.500 0.500 0.500
0.500 0.000 0.879
0.000 0.500 0.121
0.000 0.000 0.500
0.000 0.500 0.779
0.500 0.000 0.221
0.500 0.500 0.000
0.000 0.500 0.342
0.500 0.000 0.658
0.000 0.000 0.000
```

Properties
- Formation energy from the elements: -0.75 eV/atom
- Total moment: 0.0 μB/f.u.
- Total energy: -7.379 eV/atom
- Space-group type: P-4m2, No. 115
- Calculated density: 12.00 g/cm3


[6]
VASP calculation (PBE) on crystalline LaThTe3 at its relaxed geometry.

Geometry as POSCAR:
```
LaThTe3
1.0
-1.929 -3.747 1.452
6.451 -1.248 5.354
-8.535 9.210 12.431
Te La Th
12 4 4
direct
0.750 0.324 0.281
0.250 0.676 0.719
0.250 0.499 0.104
0.250 0.176 0.781
0.750 0.501 0.896
0.750 0.001 0.604
0.750 0.620 0.433
0.250 0.380 0.567
0.250 0.999 0.396
0.250 0.880 0.933
0.750 0.120 0.067
0.750 0.824 0.219
0.750 0.396 0.702
0.250 0.104 0.202
0.750 0.896 0.798
0.250 0.604 0.298
0.750 0.739 0.043
0.250 0.261 0.957
0.750 0.239 0.457
0.250 0.761 0.543
```

Properties
- E_form (uncorrected): -1.399 eV/atom
- Total moment: 0.4 μB/f.u.
- Total energy: -5.754 eV/atom
- Space-group type: Pnma, No. 62
- Calculated density: 7.50 g/cm3
- Polymorph energy (0 for the lowest one): 0.0000 eV/atom


[7]
VASP calculation (PBE) on crystalline LiCa4Y at its relaxed geometry.

Geometry as POSCAR:
```
LiCa4Y
1.0
-6.070 -1.638 3.066
-6.005 2.495 -2.577
-4.487 -4.304 -3.204
Y Ca Li
1 4 1
direct
0.000 0.000 0.000
0.374 0.374 0.877
0.374 0.877 0.374
0.374 0.374 0.374
0.877 0.374 0.374
0.750 0.750 0.750
```

Properties
- Formation energy from the elements: 0.34 eV/atom
- Total moment: 0.8 μB/f.u.
- Total energy: -2.386 eV/atom
- Space-group type: F-43m, No. 216
- Calculated density: 1.76 g/cm3


[8]
VASP calculation (PBE) on crystalline TiPdN3 at its relaxed geometry.

Geometry as POSCAR:
```
TiPdN3
1.0
-3.745 -0.914 -0.612
0.928 -3.791 -0.017
-0.590 -0.162 3.855
N Pd Ti
3 1 1
direct
0.000 0.000 0.500
0.000 0.500 0.000
0.500 0.000 0.000
0.500 0.500 0.500
0.000 0.000 0.000
```

Properties
- E_form (uncorrected): 0.899 eV/atom
- Total moment: 0.0 μB/f.u.
- Total energy: -6.714 eV/atom
- Space-group type: Pm-3m, No. 221
- Calculated density: 5.48 g/cm3


[9]
VASP calculation (PBE) on crystalline La2DyHoTh at its relaxed geometry.

Geometry as POSCAR:
```
La2DyHoTh
1.0
6.357 0.000 0.000
0.000 8.890 0.523
0.000 -1.902 6.204
Ho La Th Dy
2 4 2 2
direct
0.829 0.500 0.250
0.171 0.500 0.750
0.696 0.316 0.677
0.304 0.316 0.177
0.696 0.684 0.823
0.304 0.684 0.323
0.000 0.000 0.500
0.000 0.000 0.000
0.527 0.000 0.250
0.473 0.000 0.750
```

Properties
- Formation energy from the elements: 0.33 eV/atom
- Total moment: 0.0 μB/f.u.
- Total energy: -4.962 eV/atom
- Space-group type: P2/c, No. 13
- Calculated density: 7.79 g/cm3


[10]
VASP calculation (PBE) on crystalline AcLaCoN2 at its relaxed geometry.

Geometry as POSCAR:
```
AcLaCoN2
1.0
-4.335 -0.724 -1.078
1.593 -4.847 -3.149
-1.109 -2.888 6.399
Ac La N Co
2 2 4 2
direct
0.860 0.500 0.250
0.140 0.500 0.750
0.463 0.000 0.250
0.537 0.000 0.750
0.248 0.743 0.469
0.248 0.257 0.031
0.752 0.743 0.969
0.752 0.257 0.531
0.000 0.000 0.000
0.000 0.000 0.500
```

Properties
- E_form (uncorrected): -0.672 eV/atom
- Total moment: 1.1 μB/f.u.
- Total energy: -7.231 eV/atom
- Space-group type: P2/c, No. 13
- Calculated density: 7.94 g/cm3


[11]
VASP calculation (PBE) on crystalline SbTeW2 at its relaxed geometry.

Geometry as POSCAR:
```
SbTeW2
1.0
-0.982 3.747 1.424
-3.369 -0.671 -0.559
-0.572 -2.672 6.637
Sb W Te
1 2 1
direct
0.000 0.375 0.415
0.500 0.375 0.135
0.000 0.875 0.111
0.500 0.875 0.838
```

Properties
- E_form (uncorrected): 0.280 eV/atom
- Total moment: 0.0 μB/f.u.
- Total energy: -8.013 eV/atom
- Space-group type: Pmm2, No. 25
- Calculated density: 9.94 g/cm3
- Polymorph energy (0 for the lowest one): 0.0000 eV/atom


[12]
VASP calculation (PBE) on crystalline Ho4Sn3 at its relaxed geometry.

Geometry as POSCAR:
```
Ho4Sn3
1.0
7.550 0.000 -2.669
-3.775 6.538 -2.669
0.000 0.000 8.008
Ho Sn
8 6
direct
0.500 0.358 0.500
0.000 0.000 0.358
0.858 0.500 0.000
0.000 0.000 0.858
0.142 0.642 0.642
0.642 0.142 0.142
0.500 0.858 0.500
0.358 0.500 0.000
0.125 0.375 0.250
0.750 0.625 0.375
0.375 0.125 0.750
0.875 0.250 0.625
0.250 0.875 0.125
0.625 0.750 0.875
```

Properties
- Formation energy from the elements: -0.72 eV/atom
- Total moment: 0.0 μB/f.u.
- Total energy: -5.050 eV/atom
- Space-group type: I-43d, No. 220
- Calculated density: 8.54 g/cm3